(1)
Computed, not measured: an optimized crystal structure of Nb5Ge4 at the PBE level of DFT.

Lattice parameters (Å, degrees): 6.773 13.227 6.856 90.00 90.00 90.00
Space group Pnma (No. 62)
Asymmetric unit:
Nb 0.020 0.086 0.175 x8
Nb 0.155 0.624 0.336 x8
Nb 0.170 0.250 0.508 x4
Ge 0.044 0.250 0.896 x4
Ge 0.183 0.750 0.660 x4
Ge 0.189 0.041 0.535 x8

The value obtained for the formation energy is -418 meV per atom.

(2)
Computed, not measured: an optimized crystal structure of ReAuCl2 at the PBE level of DFT.

Lattice parameters (Å, degrees): 4.345 4.345 4.117 90.00 90.00 90.00
Space group P4/mmm (No. 123)
Asymmetric unit:
Re 0.000 0.000 0.000 x1
Au 0.500 0.500 0.000 x1
Cl 0.000 0.500 0.500 x2

For the raw formation energy, the calculation gives 4.78 eV per formula unit.

(3)
Computed, not measured: an optimized crystal structure of LiLa2Hg at the PBE level of DFT.

Lattice parameters (Å, degrees): 12.219 3.860 5.305 90.00 115.69 90.00
Space group Cm (No. 8)
Asymmetric unit:
Li 0.000 0.000 0.000 x2
La 0.225 0.000 0.726 x2
La 0.443 0.000 0.443 x2
Hg 0.177 0.500 0.179 x2

The value obtained for the formation energy is -221 meV per atom.

(4)
Computed, not measured: an optimized crystal structure of ZnRe3W at the PBE level of DFT.

Lattice parameters (Å, degrees): 4.749 4.749 4.749 90.00 90.00 90.00
Space group Pm-3m (No. 221)
Asymmetric unit:
Zn 0.000 0.000 0.000 x1
Re 0.000 0.500 0.500 x3
W 0.500 0.500 0.500 x1

The value obtained for the formation energy is 2304 meV per atom.

(5)
Computed, not measured: an optimized crystal structure of MnRh6W at the PBE level of DFT.

Lattice parameters (Å, degrees): 5.443 5.443 3.847 90.00 90.00 90.00
Space group P4/mmm (No. 123)
Asymmetric unit:
Mn 0.000 0.000 0.000 x1
Rh 0.000 0.500 0.000 x2
Rh 0.252 0.252 0.500 x4
W 0.500 0.500 0.000 x1

The value obtained for the formation energy is -217 meV per atom.

(6)
Computed, not measured: an optimized crystal structure of DyAlZnPt3 at the PBE level of DFT.

Lattice parameters (Å, degrees): 6.784 11.815 5.656 90.00 90.00 90.00
Space group Cmcm (No. 63)
Asymmetric unit:
Dy 0.000 0.197 0.250 x4
Al 0.000 0.129 0.750 x4
Zn 0.000 0.443 0.250 x4
Pt 0.000 0.330 0.750 x4
Pt 0.209 0.000 0.000 x8

The value obtained for the formation energy is -716 meV per atom.

(7)
Computed, not measured: an optimized crystal structure of K3MnCu2Br9 at the PBE level of DFT.

Lattice parameters (Å, degrees): 7.3546 7.3546 9.0314 90.00 90.00 120.00
Space group P-3m1 (No. 164)
Asymmetric unit:
K 0.0000 0.0000 0.0000 x1
K 0.3333 0.6667 0.6763 x2
Mn 0.0000 0.0000 0.5000 x1
Cu 0.3333 0.6667 0.1593 x2
Br 0.0000 0.5000 0.0000 x3
Br 0.1657 0.3314 0.3358 x6

For the raw formation energy, the calculation gives -14.24 eV per formula unit.

(8)
Computed, not measured: an optimized crystal structure of Nd2HoMn at the PBE level of DFT.

Lattice parameters (Å, degrees): 3.626 3.626 8.853 90.00 90.00 90.00
Space group P4/mmm (No. 123)
Asymmetric unit:
Nd 0.000 0.000 0.211 x2
Ho 0.500 0.500 0.500 x1
Mn 0.500 0.500 0.000 x1

The value obtained for the formation energy is 180 meV per atom.

(9)
Computed, not measured: an optimized crystal structure of RbLiYBr6 at the PBE level of DFT.

Lattice parameters (Å, degrees): 7.041 12.228 8.046 90.00 90.05 90.00
Space group C2 (No. 5)
Asymmetric unit:
Rb 0.000 0.000 0.000 x2
Li 0.000 0.666 0.500 x2
Y 0.000 0.333 0.500 x2
Br 0.135 0.503 0.296 x4
Br 0.178 0.816 0.296 x4
Br 0.186 0.181 0.296 x4

For the raw formation energy, the calculation gives -13.27 eV per formula unit.

(10)
Computed, not measured: an optimized crystal structure of CaTl2Mo at the PBE level of DFT.

Lattice parameters (Å, degrees): 4.666 4.666 4.269 90.00 90.00 90.00
Space group P4/mmm (No. 123)
Asymmetric unit:
Ca 0.000 0.000 0.000 x1
Tl 0.000 0.500 0.500 x2
Mo 0.500 0.500 0.000 x1

The value obtained for the formation energy is 478 meV per atom.

(11)
Computed, not measured: an optimized crystal structure of La2ScTc at the PBE level of DFT.

Lattice parameters (Å, degrees): 8.837 8.837 5.907 90.00 90.00 90.00
Space group I-42d (No. 122)
Asymmetric unit:
La 0.162 0.250 0.125 x8
Sc 0.000 0.000 0.500 x4
Tc 0.000 0.000 0.000 x4

The value obtained for the formation energy is 322 meV per atom.

(12)
Computed, not measured: an optimized crystal structure of PAu2Se2 at the PBE level of DFT.

Lattice parameters (Å, degrees): 3.755 3.755 14.894 90.00 90.00 90.00
Space group I4/mmm (No. 139)
Asymmetric unit:
P 0.000 0.000 0.000 x2
Au 0.000 0.500 0.250 x4
Se 0.000 0.000 0.409 x4

For the raw formation energy, the calculation gives 2.80 eV per formula unit.

Repeat the seventh record exactly.
Computed, not measured: an optimized crystal structure of K3MnCu2Br9 at the PBE level of DFT.

Lattice parameters (Å, degrees): 7.3546 7.3546 9.0314 90.00 90.00 120.00
Space group P-3m1 (No. 164)
Asymmetric unit:
K 0.0000 0.0000 0.0000 x1
K 0.3333 0.6667 0.6763 x2
Mn 0.0000 0.0000 0.5000 x1
Cu 0.3333 0.6667 0.1593 x2
Br 0.0000 0.5000 0.0000 x3
Br 0.1657 0.3314 0.3358 x6

For the raw formation energy, the calculation gives -14.24 eV per formula unit.